1.
Material: NaBiMo2S8
Method: DFT, PBE
State: optimized geometry

```
data_NaBiMo2S8
_cell_length_a 8.8028
_cell_length_b 8.8028
_cell_length_c 8.8028
_cell_angle_alpha 139.15
_cell_angle_beta 139.15
_cell_angle_gamma 59.15
_symmetry_space_group_name_H-M 'P 1'
_symmetry_Int_Tables_number 1
_symmetry_space_group_name_Hall 'P 1'
loop_
_atom_site_label
_atom_site_type_symbol
_atom_site_fract_x
_atom_site_fract_y
_atom_site_fract_z
Na1 Na 0.0000 0.0000 0.0000
Bi1 Bi 0.7500 0.2500 0.5000
Mo1 Mo 0.2500 0.7500 0.5000
Mo2 Mo 0.5000 0.5000 0.0000
S1 S 0.0371 0.4000 0.0901
S2 S 0.0530 0.9629 0.3629
S3 S 0.1574 0.5590 0.8787
S4 S 0.3099 0.9470 0.9099
S5 S 0.4410 0.3196 0.5984
S6 S 0.6000 0.6901 0.6371
S7 S 0.6804 0.2787 0.1213
S8 S 0.7213 0.8426 0.4016
```

Space-group type ... I-4 (82)

2.
Material: NaBiMoW
Method: DFT, PBE
State: optimized geometry

```
data_NaBiMoW
_cell_length_a 4.7053
_cell_length_b 4.7053
_cell_length_c 4.7053
_cell_angle_alpha 60.00
_cell_angle_beta 60.00
_cell_angle_gamma 60.00
_symmetry_space_group_name_H-M 'P 1'
_symmetry_Int_Tables_number 1
_symmetry_space_group_name_Hall 'P 1'
loop_
_atom_site_label
_atom_site_type_symbol
_atom_site_fract_x
_atom_site_fract_y
_atom_site_fract_z
Na1 Na 0.0000 0.0000 0.0000
Bi1 Bi 0.7500 0.7500 0.7500
Mo1 Mo 0.5000 0.5000 0.5000
W1 W 0.2500 0.2500 0.2500
```

Space-group type ... F-43m (216)

3.
Material: Nb2BiMo
Method: DFT, PBE
State: optimized geometry

```
data_Nb2BiMo
_cell_length_a 4.7457
_cell_length_b 4.7457
_cell_length_c 4.7457
_cell_angle_alpha 60.00
_cell_angle_beta 60.00
_cell_angle_gamma 60.00
_symmetry_space_group_name_H-M 'P 1'
_symmetry_Int_Tables_number 1
_symmetry_space_group_name_Hall 'P 1'
loop_
_atom_site_label
_atom_site_type_symbol
_atom_site_fract_x
_atom_site_fract_y
_atom_site_fract_z
Nb1 Nb 0.0000 0.0000 0.0000
Nb2 Nb 0.2500 0.2500 0.2500
Bi1 Bi 0.5000 0.5000 0.5000
Mo1 Mo 0.7500 0.7500 0.7500
```

Space-group type ... F-43m (216)

4.
Material: NbBi2Mo
Method: DFT, PBE
State: optimized geometry

```
data_NbBi2Mo
_cell_length_a 4.9743
_cell_length_b 4.9743
_cell_length_c 4.9743
_cell_angle_alpha 60.00
_cell_angle_beta 60.00
_cell_angle_gamma 60.00
_symmetry_space_group_name_H-M 'P 1'
_symmetry_Int_Tables_number 1
_symmetry_space_group_name_Hall 'P 1'
loop_
_atom_site_label
_atom_site_type_symbol
_atom_site_fract_x
_atom_site_fract_y
_atom_site_fract_z
Nb1 Nb 0.0000 0.0000 0.0000
Bi1 Bi 0.5000 0.5000 0.5000
Bi2 Bi 0.7500 0.7500 0.7500
Mo1 Mo 0.2500 0.2500 0.2500
```

Space-group type ... F-43m (216)

5.
Material: NbBiMo2
Method: DFT, PBE
State: optimized geometry

```
data_NbBiMo2
_cell_length_a 4.6984
_cell_length_b 4.6984
_cell_length_c 4.6984
_cell_angle_alpha 60.00
_cell_angle_beta 60.00
_cell_angle_gamma 60.00
_symmetry_space_group_name_H-M 'P 1'
_symmetry_Int_Tables_number 1
_symmetry_space_group_name_Hall 'P 1'
loop_
_atom_site_label
_atom_site_type_symbol
_atom_site_fract_x
_atom_site_fract_y
_atom_site_fract_z
Nb1 Nb 0.0000 0.0000 0.0000
Bi1 Bi 0.7500 0.7500 0.7500
Mo1 Mo 0.2500 0.2500 0.2500
Mo2 Mo 0.5000 0.5000 0.5000
```

Space-group type ... F-43m (216)

6.
Material: NdBiMo
Method: DFT, PBE
State: optimized geometry

```
data_NdBiMo
_cell_length_a 5.0047
_cell_length_b 5.0047
_cell_length_c 5.0047
_cell_angle_alpha 60.00
_cell_angle_beta 60.00
_cell_angle_gamma 60.00
_symmetry_space_group_name_H-M 'P 1'
_symmetry_Int_Tables_number 1
_symmetry_space_group_name_Hall 'P 1'
loop_
_atom_site_label
_atom_site_type_symbol
_atom_site_fract_x
_atom_site_fract_y
_atom_site_fract_z
Nd1 Nd 0.0000 0.0000 0.0000
Bi1 Bi 0.7500 0.7500 0.7500
Mo1 Mo 0.5000 0.5000 0.5000
```

Space-group type ... F-43m (216)

7.
Material: ReNiBiMo
Method: DFT, PBE
State: optimized geometry

```
data_ReNiBiMo
_cell_length_a 4.5361
_cell_length_b 4.5361
_cell_length_c 4.5361
_cell_angle_alpha 60.00
_cell_angle_beta 60.00
_cell_angle_gamma 60.00
_symmetry_space_group_name_H-M 'P 1'
_symmetry_Int_Tables_number 1
_symmetry_space_group_name_Hall 'P 1'
loop_
_atom_site_label
_atom_site_type_symbol
_atom_site_fract_x
_atom_site_fract_y
_atom_site_fract_z
Re1 Re 0.0000 0.0000 0.0000
Ni1 Ni 0.7500 0.7500 0.7500
Bi1 Bi 0.5000 0.5000 0.5000
Mo1 Mo 0.2500 0.2500 0.2500
```

Space-group type ... F-43m (216)

8.
Material: TaNiBiMo
Method: DFT, PBE
State: optimized geometry

```
data_TaNiBiMo
_cell_length_a 4.6174
_cell_length_b 4.6174
_cell_length_c 4.6174
_cell_angle_alpha 60.00
_cell_angle_beta 60.00
_cell_angle_gamma 60.00
_symmetry_space_group_name_H-M 'P 1'
_symmetry_Int_Tables_number 1
_symmetry_space_group_name_Hall 'P 1'
loop_
_atom_site_label
_atom_site_type_symbol
_atom_site_fract_x
_atom_site_fract_y
_atom_site_fract_z
Ta1 Ta 0.0000 0.0000 0.0000
Ni1 Ni 0.7500 0.7500 0.7500
Bi1 Bi 0.5000 0.5000 0.5000
Mo1 Mo 0.2500 0.2500 0.2500
```

Space-group type ... F-43m (216)

9.
Material: ZnNiBiMo
Method: DFT, PBE
State: optimized geometry

```
data_ZnNiBiMo
_cell_length_a 4.5513
_cell_length_b 4.5513
_cell_length_c 4.5513
_cell_angle_alpha 60.00
_cell_angle_beta 60.00
_cell_angle_gamma 60.00
_symmetry_space_group_name_H-M 'P 1'
_symmetry_Int_Tables_number 1
_symmetry_space_group_name_Hall 'P 1'
loop_
_atom_site_label
_atom_site_type_symbol
_atom_site_fract_x
_atom_site_fract_y
_atom_site_fract_z
Zn1 Zn 0.0000 0.0000 0.0000
Ni1 Ni 0.7500 0.7500 0.7500
Bi1 Bi 0.5000 0.5000 0.5000
Mo1 Mo 0.2500 0.2500 0.2500
```

Space-group type ... F-43m (216)

10.
Material: NpBiMo
Method: DFT, PBE
State: optimized geometry

```
data_NpBiMo
_cell_length_a 4.7091
_cell_length_b 4.7091
_cell_length_c 4.7091
_cell_angle_alpha 60.00
_cell_angle_beta 60.00
_cell_angle_gamma 60.00
_symmetry_space_group_name_H-M 'P 1'
_symmetry_Int_Tables_number 1
_symmetry_space_group_name_Hall 'P 1'
loop_
_atom_site_label
_atom_site_type_symbol
_atom_site_fract_x
_atom_site_fract_y
_atom_site_fract_z
Np1 Np 0.0000 0.0000 0.0000
Bi1 Bi 0.5000 0.5000 0.5000
Mo1 Mo 0.7500 0.7500 0.7500
```

Space-group type ... F-43m (216)

11.
Material: BiMoOs
Method: DFT, PBE
State: optimized geometry

```
data_BiMoOs
_cell_length_a 4.4360
_cell_length_b 4.4360
_cell_length_c 4.4360
_cell_angle_alpha 60.00
_cell_angle_beta 60.00
_cell_angle_gamma 60.00
_symmetry_space_group_name_H-M 'P 1'
_symmetry_Int_Tables_number 1
_symmetry_space_group_name_Hall 'P 1'
loop_
_atom_site_label
_atom_site_type_symbol
_atom_site_fract_x
_atom_site_fract_y
_atom_site_fract_z
Bi1 Bi 0.0000 0.0000 0.0000
Mo1 Mo 0.5000 0.5000 0.5000
Os1 Os 0.2500 0.2500 0.2500
```

Space-group type ... F-43m (216)

12.
Material: BiMo2Os
Method: DFT, PBE
State: optimized geometry

```
data_BiMo2Os
_cell_length_a 4.6188
_cell_length_b 4.6188
_cell_length_c 4.6188
_cell_angle_alpha 60.00
_cell_angle_beta 60.00
_cell_angle_gamma 60.00
_symmetry_space_group_name_H-M 'P 1'
_symmetry_Int_Tables_number 1
_symmetry_space_group_name_Hall 'P 1'
loop_
_atom_site_label
_atom_site_type_symbol
_atom_site_fract_x
_atom_site_fract_y
_atom_site_fract_z
Bi1 Bi 0.0000 0.0000 0.0000
Mo1 Mo 0.5000 0.5000 0.5000
Mo2 Mo 0.7500 0.7500 0.7500
Os1 Os 0.2500 0.2500 0.2500
```

Space-group type ... F-43m (216)

13.
Material: BiMo2Os3
Method: DFT, PBE
State: optimized geometry

```
data_BiMo2Os3
_cell_length_a 2.9138
_cell_length_b 2.9138
_cell_length_c 13.6312
_cell_angle_alpha 90.00
_cell_angle_beta 90.00
_cell_angle_gamma 120.00
_symmetry_space_group_name_H-M 'P 1'
_symmetry_Int_Tables_number 1
_symmetry_space_group_name_Hall 'P 1'
loop_
_atom_site_label
_atom_site_type_symbol
_atom_site_fract_x
_atom_site_fract_y
_atom_site_fract_z
Bi1 Bi 0.0000 0.0000 0.0000
Mo1 Mo 0.3333 0.6667 0.3385
Mo2 Mo 0.6667 0.3333 0.6615
Os1 Os 0.0000 0.0000 0.5000
Os2 Os 0.3333 0.6667 0.8127
Os3 Os 0.6667 0.3333 0.1873
```

Space-group type ... P-3m1 (164)

14.
Material: Bi3MoP
Method: DFT, PBE
State: optimized geometry

```
data_Bi3MoP
_cell_length_a 5.2473
_cell_length_b 5.2473
_cell_length_c 5.2473
_cell_angle_alpha 90.00
_cell_angle_beta 90.00
_cell_angle_gamma 90.00
_symmetry_space_group_name_H-M 'P 1'
_symmetry_Int_Tables_number 1
_symmetry_space_group_name_Hall 'P 1'
loop_
_atom_site_label
_atom_site_type_symbol
_atom_site_fract_x
_atom_site_fract_y
_atom_site_fract_z
Bi1 Bi 0.0000 0.0000 0.5000
Bi2 Bi 0.0000 0.5000 0.0000
Bi3 Bi 0.5000 0.0000 0.0000
Mo1 Mo 0.5000 0.5000 0.5000
P1 P 0.0000 0.0000 0.0000
```

Space-group type ... Pm-3m (221)

15.
Material: PrBiMo
Method: DFT, PBE
State: optimized geometry

```
data_PrBiMo
_cell_length_a 5.2033
_cell_length_b 5.2033
_cell_length_c 5.2033
_cell_angle_alpha 60.00
_cell_angle_beta 60.00
_cell_angle_gamma 60.00
_symmetry_space_group_name_H-M 'P 1'
_symmetry_Int_Tables_number 1
_symmetry_space_group_name_Hall 'P 1'
loop_
_atom_site_label
_atom_site_type_symbol
_atom_site_fract_x
_atom_site_fract_y
_atom_site_fract_z
Pr1 Pr 0.0000 0.0000 0.0000
Bi1 Bi 0.2500 0.2500 0.2500
Mo1 Mo 0.7500 0.7500 0.7500
```

Space-group type ... F-43m (216)

16.
Material: PrBiMo
Method: DFT, PBE
State: optimized geometry

```
data_PrBiMo
_cell_length_a 5.0261
_cell_length_b 5.0261
_cell_length_c 5.0261
_cell_angle_alpha 60.00
_cell_angle_beta 60.00
_cell_angle_gamma 60.00
_symmetry_space_group_name_H-M 'P 1'
_symmetry_Int_Tables_number 1
_symmetry_space_group_name_Hall 'P 1'
loop_
_atom_site_label
_atom_site_type_symbol
_atom_site_fract_x
_atom_site_fract_y
_atom_site_fract_z
Pr1 Pr 0.0000 0.0000 0.0000
Bi1 Bi 0.7500 0.7500 0.7500
Mo1 Mo 0.5000 0.5000 0.5000
```

Space-group type ... F-43m (216)

17.
Material: BiMoPt2
Method: DFT, PBE
State: optimized geometry

```
data_BiMoPt2
_cell_length_a 4.6720
_cell_length_b 4.6720
_cell_length_c 4.6720
_cell_angle_alpha 60.00
_cell_angle_beta 60.00
_cell_angle_gamma 60.00
_symmetry_space_group_name_H-M 'P 1'
_symmetry_Int_Tables_number 1
_symmetry_space_group_name_Hall 'P 1'
loop_
_atom_site_label
_atom_site_type_symbol
_atom_site_fract_x
_atom_site_fract_y
_atom_site_fract_z
Bi1 Bi 0.0000 0.0000 0.0000
Mo1 Mo 0.2500 0.2500 0.2500
Pt1 Pt 0.5000 0.5000 0.5000
Pt2 Pt 0.7500 0.7500 0.7500
```

Space-group type ... F-43m (216)

18.
Material: Bi2MoPt
Method: DFT, PBE
State: optimized geometry

```
data_Bi2MoPt
_cell_length_a 4.9753
_cell_length_b 4.9753
_cell_length_c 4.9753
_cell_angle_alpha 60.00
_cell_angle_beta 60.00
_cell_angle_gamma 60.00
_symmetry_space_group_name_H-M 'P 1'
_symmetry_Int_Tables_number 1
_symmetry_space_group_name_Hall 'P 1'
loop_
_atom_site_label
_atom_site_type_symbol
_atom_site_fract_x
_atom_site_fract_y
_atom_site_fract_z
Bi1 Bi 0.0000 0.0000 0.0000
Bi2 Bi 0.2500 0.2500 0.2500
Mo1 Mo 0.7500 0.7500 0.7500
Pt1 Pt 0.5000 0.5000 0.5000
```

Space-group type ... F-43m (216)

19.
Material: BiMo2Pt
Method: DFT, PBE
State: optimized geometry

```
data_BiMo2Pt
_cell_length_a 4.6985
_cell_length_b 4.6985
_cell_length_c 4.6985
_cell_angle_alpha 60.00
_cell_angle_beta 60.00
_cell_angle_gamma 60.00
_symmetry_space_group_name_H-M 'P 1'
_symmetry_Int_Tables_number 1
_symmetry_space_group_name_Hall 'P 1'
loop_
_atom_site_label
_atom_site_type_symbol
_atom_site_fract_x
_atom_site_fract_y
_atom_site_fract_z
Bi1 Bi 0.0000 0.0000 0.0000
Mo1 Mo 0.5000 0.5000 0.5000
Mo2 Mo 0.7500 0.7500 0.7500
Pt1 Pt 0.2500 0.2500 0.2500
```

Space-group type ... F-43m (216)

20.
Material: PuBiMo
Method: DFT, PBE
State: optimized geometry

```
data_PuBiMo
_cell_length_a 4.7605
_cell_length_b 4.7605
_cell_length_c 4.7605
_cell_angle_alpha 60.00
_cell_angle_beta 60.00
_cell_angle_gamma 60.00
_symmetry_space_group_name_H-M 'P 1'
_symmetry_Int_Tables_number 1
_symmetry_space_group_name_Hall 'P 1'
loop_
_atom_site_label
_atom_site_type_symbol
_atom_site_fract_x
_atom_site_fract_y
_atom_site_fract_z
Pu1 Pu 0.0000 0.0000 0.0000
Bi1 Bi 0.5000 0.5000 0.5000
Mo1 Mo 0.7500 0.7500 0.7500
```

Space-group type ... F-43m (216)

Number 1: E -5.38 eV per atom. Number 2: E -6.48 eV per atom. Number 3: E -8.40 eV per atom. Number 4: E -6.58 eV per atom. Number 5: E -8.41 eV per atom. Number 6: E -5.95 eV per atom. Number 7: E -7.50 eV per atom. Number 8: E -7.62 eV per atom. Number 9: E -4.95 eV per atom. Number 10: E -8.62 eV per atom. Number 11: E -8.14 eV per atom. Number 12: E -8.51 eV per atom. Number 13: E -9.34 eV per atom. Number 14: E -4.52 eV per atom. Number 15: E -5.52 eV per atom. Number 16: E -5.95 eV per atom. Number 17: E -6.49 eV per atom. Number 18: E -5.55 eV per atom. Number 19: E -7.38 eV per atom. Number 20: E -9.28 eV per atom.